(1)
DFT (GGA-PBE) results for a geometry-optimized SrNiH6 structure.

Calculated values
- energy relative to the lowest polymorph listed for this composition (eV/atom) = 0.080
- DOS at the Fermi energy (states/eV per cell) = 0.0

Unit cell a=4.3457 b=4.3457 c=4.3372 alpha=99.06 beta=99.06 gamma=97.65
Sites, in units of the cell vectors:
Sr  0.0000  0.0000  0.0000
Ni  0.5000  0.5000  0.5000
H  0.2489  0.5714  0.2524
H  0.2568  0.2568  0.5771
H  0.4286  0.7511  0.7476
H  0.5714  0.2489  0.2524
H  0.7432  0.7432  0.4229
H  0.7511  0.4286  0.7476

---

(2)
DFT (GGA-PBE) results for a geometry-optimized AcLaPr4 structure.

Calculated values
- energy relative to the lowest polymorph listed for this composition (eV/atom) = 0.177
- DOS at the Fermi energy (states/eV per cell) = 10.5
- DFT formation energy (meV/atom) = 196.2

Unit cell a=6.8682 b=6.8682 c=6.8682 alpha=60.00 beta=60.00 gamma=60.00
Sites, in units of the cell vectors:
Ac  0.0000  0.0000  0.0000
La  0.7500  0.7500  0.7500
Pr  0.3756  0.3756  0.3756
Pr  0.3756  0.3756  0.8733
Pr  0.3756  0.8733  0.3756
Pr  0.8733  0.3756  0.3756

---

(3)
DFT (GGA-PBE) results for a geometry-optimized NbAlC3 structure.

Calculated values
- energy relative to the lowest polymorph listed for this composition (eV/atom) = 0.000
- DOS at the Fermi energy (states/eV per cell) = 4.3
- DFT formation energy (meV/atom) = 1871.3

Unit cell a=3.8119 b=3.8119 c=3.8119 alpha=90.00 beta=90.00 gamma=90.00
Sites, in units of the cell vectors:
Nb  0.0000  0.0000  0.0000
Al  0.5000  0.5000  0.5000
C  0.0000  0.5000  0.5000
C  0.5000  0.0000  0.5000
C  0.5000  0.5000  0.0000